[1]
A plane-wave DFT calculation with GGA-PBE was carried out for a relaxed structure of Sr2TlGa.

Lattice parameters (Å, degrees): 5.6698 5.6698 5.6698 60.00 60.00 60.00
Last column: nearest neighbours and their distance in Å.
Element x y z (fractional)
Sr (0.2500, 0.2500, 0.2500)  4 Tl 3.47, 4 Ga 3.47
Sr (0.7500, 0.7500, 0.7500)  4 Tl 3.47, 4 Ga 3.47
Tl (0.0000, 0.0000, 0.0000)  8 Sr 3.47
Ga (0.5000, 0.5000, 0.5000)  8 Sr 3.47

Values from the calculation:
Crystal system: cubic
DOS at the Fermi energy in states/eV/cell: 1.23
Energy above the lowest structure with this stoichiometry in meV per atom: 13.3

=====

[2]
A plane-wave DFT calculation with GGA-PBE was carried out for a relaxed structure of SrTlGa.

Lattice parameters (Å, degrees): 4.3378 4.9300 8.9404 105.90 100.71 90.09
Last column: nearest neighbours and their distance in Å.
Element x y z (fractional)
Sr (0.1667, 0.3929, 0.2847)  6 Ga 3.46-3.50, 5 Tl 3.49-3.81
Sr (0.8333, 0.6071, 0.7153)  6 Ga 3.46-3.50, 5 Tl 3.49-3.81
Tl (0.3537, 0.2042, 0.9083)  1 Ga 2.84, 2 Tl 3.07
Tl (0.6463, 0.7958, 0.0917)  1 Ga 2.84, 2 Tl 3.07
Ga (0.2787, 0.0361, 0.5730)  2 Ga 2.49-2.50
Ga (0.7213, 0.9639, 0.4270)  2 Ga 2.49-2.50

Values from the calculation:
Crystal system: triclinic
DOS at the Fermi energy in states/eV/cell: 3.19

=====

Calculated total energy in order - -10.3; -16.4 eV per cell